(1)
VASP calculation (GGA-PBE) on a relaxed structure of MgFeSi2N.

The volume is 77.2 Å³/f.u. The calculation puts the raw total energy at -5.427 eV per atom.

It has space group P4/mmm (No. 123), with a = 4.761 Å, b = 4.761 Å, c = 3.407 Å, α = 90.00°, β = 90.00° and γ = 90.00°. The distinct sites, in fractional coordinates, are Mg at (0.000, 0.000, 0.000), Fe at (0.500, 0.500, 0.500), Si at (0.000, 0.500, 0.500) and N at (0.500, 0.500, 0.000).

(2)
VASP calculation (GGA-PBE) on a relaxed structure of Mg2ZnFeN.

The volume is 68.7 Å³/f.u. The calculation puts the raw total energy at -4.453 eV per atom.

It has space group P4/mmm (No. 123), with a = 4.380 Å, b = 4.380 Å, c = 3.581 Å, α = 90.00°, β = 90.00° and γ = 90.00°. The distinct sites, in fractional coordinates, are Mg at (0.000, 0.500, 0.000), Zn at (0.000, 0.000, 0.500), Fe at (0.500, 0.500, 0.500) and N at (0.500, 0.500, 0.000).

(3)
VASP calculation (GGA-PBE) on a relaxed structure of NaMgFe2.

The volume is 69.8 Å³/f.u. Its formation energy is 3.424 eV per formula unit.

It has space group I-42d (No. 122), with a = 3.756 Å, b = 3.756 Å, c = 19.791 Å, α = 90.00°, β = 90.00° and γ = 90.00°. The distinct sites, in fractional coordinates, are Na at (0.000, 0.000, 0.000), Mg at (0.000, 0.000, 0.500) and Fe at (0.221, 0.250, 0.625).